5
Lattice="-2.3511 -0.6957 -3.0905 -0.4819 -3.7254 1.2052 -3.0667 3.7795 4.0001" Properties=species:S:1:pos:R:3 comment="AcCoCuP2 GGA-PBE relaxed" delta_e_f_mev_per_atom=-745 dos_at_fermi_per_ev_cell=4.60 pbc="T T T"
P -3.1731 1.1105 2.1640
Co -3.4171 0.4366 -0.0165
P -2.7265 -1.7521 -0.0492
Ac 0.0000 0.0000 0.0000
Cu -2.4825 -1.0782 2.1313